# 1
The following is a PBE calculation of a relaxed PmMgCoHg crystal, from the Alexandria database.

Lattice parameters (Å, degrees): 4.9460 4.9460 4.9460 60.00 60.00 60.00
Site moments in Bohr magnetons follow the coordinates.
Atoms (fractional coordinates):
Pm (0.5000, 0.5000, 0.5000)  -0.06
Mg (0.0000, 0.0000, 0.0000)  0.00
Hg (0.7500, 0.7500, 0.7500)  0.00
Co (0.2500, 0.2500, 0.2500)  1.36

* ΔH_f (0 K): -55 meV/atom
* crystal system: cubic

# 2
The following is a PBE calculation of a relaxed RbMn2BiTe crystal, from the Alexandria database.

Lattice parameters (Å, degrees): 5.2124 6.3819 5.2124 90.00 90.00 90.00
Site moments in Bohr magnetons follow the coordinates.
Atoms (fractional coordinates):
Mn (0.5000, 0.0000, 0.0000)  3.88
Bi (0.0000, 0.5000, 0.0000)  -0.01
Mn (0.0000, 0.0000, 0.5000)  3.83
Te (0.0000, 0.0000, 0.0000)  -0.07
Rb (0.5000, 0.5000, 0.5000)  0.00

* crystal system: tetragonal
* formation energy from raw total energies: 0.646 eV/atom

# 3
The following is a PBE calculation of a relaxed LiLaNdIn crystal, from the Alexandria database.

Lattice parameters (Å, degrees): 5.4944 5.4944 5.4944 60.00 60.00 60.00
Atoms (fractional coordinates):
Li (0.7500, 0.7500, 0.7500)
Nd (0.5000, 0.5000, 0.5000)
In (0.2500, 0.2500, 0.2500)
La (0.0000, 0.0000, 0.0000)

* ΔH_f (0 K): -268 meV/atom
* crystal system: cubic

# 4
The following is a PBE calculation of a relaxed Ac5CeAs6 crystal, from the Alexandria database.

Lattice parameters (Å, degrees): 7.7919 7.7940 7.7922 59.99 80.40 70.51
Site moments in Bohr magnetons follow the coordinates.
Atoms (fractional coordinates):
Ac (0.0000, 0.3339, 0.3322)  0.00
As (0.2428, 0.9192, 0.6781)  -0.01
As (0.2428, 0.5973, 0.3219)  -0.01
Ac (0.5000, 0.1680, 0.6640)  0.00
Ac (0.5000, 0.5000, 0.0000)  0.00
As (0.7572, 0.4027, 0.6781)  -0.01
As (0.7565, 0.7598, 0.0000)  -0.01
Ac (0.0000, 0.6661, 0.6678)  0.00
Ac (0.5000, 0.8320, 0.3360)  0.00
Ce (0.0000, 0.0000, 0.0000)  0.66
As (0.7572, 0.0808, 0.3219)  -0.01
As (0.2435, 0.2402, 0.0000)  -0.01

* ΔH_f (0 K): -1462 meV/atom
* crystal system: monoclinic